No. 1
VASP calculation (PBE-GGA) on a relaxed structure of SrGdCuIr.

Calculated values
Density   9.2 g cm⁻³
E_form   -0.91 eV per formula unit
Energy   -7.4062 eV/atom

```
4
Lattice="-3.460 0.962 3.520 -4.889 -0.190 -1.162 -2.867 -3.722 1.791" Properties=species:S:1:pos:R:3 pbc="T T T"
Gd 0.000 0.000 0.000
Sr -5.608 -1.475 2.075
Ir -8.412 -2.212 3.112
Cu -2.804 -0.737 1.037
```

=====

No. 2
VASP calculation (PBE-GGA) on a relaxed structure of GdTmCuIr.

Calculated values
Density   11.9 g cm⁻³
E_form   -2.35 eV per formula unit
Energy   -8.4654 eV/atom

```
4
Lattice="-0.994 -1.542 -4.506 2.517 -3.696 -1.917 -2.147 -4.313 -0.677" Properties=species:S:1:pos:R:3 pbc="T T T"
Gd -0.156 -2.387 -1.775
Ir -0.312 -4.775 -3.550
Tm -0.468 -7.162 -5.325
Cu 0.000 0.000 0.000
```

=====

- density of number 2 (GdTmCuIr)?
  11.9 g cm⁻³

=====

- Look up the energy of the second one.
  -8.4654 eV/atom

=====

- The highest E_form belongs to which entry?
  SrGdCuIr

=====

- energy of number 1 (SrGdCuIr)?
  -7.4062 eV/atom